1.
Below is an optimized crystal structure of Ca4Sn5Ge2, with properties calculated at the GGA-PBE level.

abc: 3.6145 8.1088 10.2462
angles: 79.36 90.00 90.00
Last column: nearest neighbours and their distance in Å.
Element x y z (fractional)
Ca  0.5000  0.1839  0.1506  2 Ge 3.00, 2 Sn 3.28
Ca  0.5000  0.2345  0.5891  4 Ge 3.14-3.15, 6 Sn 3.39-3.49
Ca  0.5000  0.8161  0.8494  2 Ge 3.00, 2 Sn 3.28
Ca  0.5000  0.7655  0.4109  4 Ge 3.14-3.15, 6 Sn 3.39-3.49
Ge  0.0000  0.0863  0.3863  1 Ge 2.49
Ge  0.0000  0.9137  0.6137  1 Ge 2.49
Sn  0.0000  0.5488  0.6797  1 Ge 2.91, 1 Sn 3.23
Sn  0.0000  0.5000  0.0000  4 Sn 3.19-3.23, 4 Ca 3.28
Sn  0.0000  0.8341  0.1232  3 Sn 3.19-3.38, 6 Ca 3.36-3.42
Sn  0.0000  0.1659  0.8768  3 Sn 3.19-3.38, 6 Ca 3.36-3.42
Sn  0.0000  0.4512  0.3203  1 Ge 2.91, 1 Sn 3.23

Values from the calculation:
As for the formation energy: -43.2 kJ/mol of atoms. The total energy is -3.834 eV per atom. The calculation puts the density at 5.059 g cm⁻³.



2.
Below is an optimized crystal structure of Ca6SnGe2, with properties calculated at the GGA-PBE level.

abc: 8.9079 8.9079 8.9079
angles: 104.43 111.13 112.97
Last column: nearest neighbours and their distance in Å.
Element x y z (fractional)
Ca  0.2005  0.2437  0.4442  1 Ge 3.00, 1 Sn 3.34
Ca  0.6912  0.3600  0.6687  3 Ge 2.99-3.09
Ca  0.7995  0.2437  0.0431  1 Ge 3.00, 1 Sn 3.34
Ca  0.0976  0.2797  0.8179  3 Ge 3.12-3.17, 1 Sn 3.31
Ca  0.7995  0.7563  0.5558  1 Ge 3.00, 1 Sn 3.34
Ca  0.4618  0.2797  0.1821  3 Ge 3.12-3.17, 1 Sn 3.31
Ca  0.5382  0.7203  0.8179  3 Ge 3.12-3.17, 1 Sn 3.31
Ca  0.9024  0.7203  0.1821  3 Ge 3.12-3.17, 1 Sn 3.31
Ca  0.3088  0.6400  0.3313  3 Ge 2.99-3.09
Ca  0.2005  0.7563  0.9569  1 Ge 3.00, 1 Sn 3.34
Ca  0.3088  0.9775  0.6687  3 Ge 2.99-3.09
Ca  0.6912  0.0225  0.3313  3 Ge 2.99-3.09
Ge  0.5000  0.3811  0.8811  1 Ge 2.60
Ge  0.6613  0.0000  0.6613  8 Ca 3.00-3.17, 1 Ge 3.25
Ge  0.5000  0.6189  0.1189  1 Ge 2.60
Ge  0.3387  0.0000  0.3387  8 Ca 3.00-3.17, 1 Ge 3.25
Sn  0.0000  0.5000  0.5000  8 Ca 3.45-3.55
Sn  0.0000  0.0000  0.0000  8 Ca 3.31-3.34, 2 Ge 3.41

Values from the calculation:
As for the formation energy: -53.5 kJ/mol of atoms. The total energy is -3.359 eV per atom. The calculation puts the density at 3.098 g cm⁻³.



3.
Below is an optimized crystal structure of Ca2SnGe3, with properties calculated at the GGA-PBE level.

abc: 5.9527 5.9527 9.6474
angles: 107.05 107.05 92.85
Last column: nearest neighbours and their distance in Å.
Element x y z (fractional)
Ge  0.6858  0.6858  0.8518  2 Ge 2.52-2.59, 1 Sn 2.69
Ge  0.3142  0.3142  0.1482  2 Ge 2.52-2.59, 1 Sn 2.69
Ge  0.1637  0.1637  0.3273  2 Ge 2.52
Ge  0.1659  0.1659  0.8518  2 Ge 2.52-2.59, 1 Sn 2.69
Ge  0.8363  0.8363  0.6727  2 Ge 2.52
Ge  0.8341  0.8341  0.1482  2 Ge 2.52-2.59, 1 Sn 2.69
Ca  0.7500  0.2500  0.5000  4 Sn 3.30, 4 Ge 3.34
Ca  0.7461  0.2539  0.0000  10 Ge 3.22-3.60
Ca  0.2539  0.7461  0.0000  10 Ge 3.22-3.60
Ca  0.2500  0.7500  0.5000  4 Sn 3.30, 4 Ge 3.34
Sn  0.6679  0.6679  0.3358  3 Ge 2.69-2.94
Sn  0.3321  0.3321  0.6642  3 Ge 2.69-2.94

Values from the calculation:
As for the formation energy: -35.6 kJ/mol of atoms. The total energy is -4.012 eV per atom. The calculation puts the density at 4.480 g cm⁻³.



4.
Below is an optimized crystal structure of CaSn2Ge2, with properties calculated at the GGA-PBE level.

abc: 7.8766 7.8766 4.0480
angles: 90.00 90.00 90.00
Last column: nearest neighbours and their distance in Å.
Element x y z (fractional)
Sn  0.1560  0.6560  0.5000  6 Ge 3.00-3.19
Sn  0.3440  0.1560  0.5000  6 Ge 3.00-3.19
Sn  0.8440  0.3440  0.5000  6 Ge 3.00-3.19
Sn  0.6560  0.8440  0.5000  6 Ge 3.00-3.19
Ge  0.6229  0.1229  0.0000  1 Ge 2.74, 4 Sn 3.00
Ge  0.3771  0.8771  0.0000  1 Ge 2.74, 4 Sn 3.00
Ge  0.1229  0.3771  0.0000  1 Ge 2.74, 4 Sn 3.00
Ge  0.8771  0.6229  0.0000  1 Ge 2.74, 4 Sn 3.00
Ca  0.5000  0.5000  0.0000  4 Ge 3.12
Ca  0.0000  0.0000  0.0000  4 Ge 3.12

Values from the calculation:
As for the formation energy: -17.0 kJ/mol of atoms. The total energy is -4.024 eV per atom. The calculation puts the density at 5.591 g cm⁻³. For the excess energy over the best structure of this formula in the dataset, the calculation gives 0.000 eV per atom.



5.
Below is an optimized crystal structure of CaSnGe3, with properties calculated at the GGA-PBE level.

abc: 5.3477 5.3477 5.3477
angles: 90.00 90.00 90.00
Last column: nearest neighbours and their distance in Å.
Element x y z (fractional)
Ge  0.5000  0.0000  0.0000  2 Ca 2.67
Ge  0.0000  0.5000  0.0000  2 Ca 2.67
Ge  0.0000  0.0000  0.5000  2 Ca 2.67
Ca  0.0000  0.0000  0.0000  6 Ge 2.67
Sn  0.5000  0.5000  0.5000  12 Ge 3.78

Values from the calculation:
As for the formation energy: 83.5 kJ/mol of atoms. The total energy is -3.106 eV per atom. The calculation puts the density at 4.090 g cm⁻³. For the excess energy over the best structure of this formula in the dataset, the calculation gives 0.419 eV per atom.



6.
Below is an optimized crystal structure of Ca3SnGe, with properties calculated at the GGA-PBE level.

abc: 5.5995 5.5995 5.5995
angles: 90.00 90.00 90.00
Last column: nearest neighbours and their distance in Å.
Element x y z (fractional)
Ge  0.0000  0.0000  0.0000  6 Ca 2.80
Ca  0.0000  0.5000  0.0000  2 Ge 2.80
Ca  0.0000  0.0000  0.5000  2 Ge 2.80
Ca  0.5000  0.0000  0.0000  2 Ge 2.80
Sn  0.5000  0.5000  0.5000  12 Ca 3.96

Values from the calculation:
As for the formation energy: -29.9 kJ/mol of atoms. The total energy is -3.235 eV per atom. The calculation puts the density at 2.947 g cm⁻³. For the excess energy over the best structure of this formula in the dataset, the calculation gives 0.218 eV per atom.



7.
Below is an optimized crystal structure of CaSnGe, with properties calculated at the GGA-PBE level.

abc: 4.5592 7.0673 9.5813
angles: 90.00 90.00 90.00
Last column: nearest neighbours and their distance in Å.
Element x y z (fractional)
Ca  0.2500  0.5092  0.1792  5 Ge 3.12-3.39, 5 Sn 3.30-3.47
Ca  0.7500  0.4908  0.8208  5 Ge 3.12-3.39, 5 Sn 3.30-3.47
Ca  0.7500  0.9908  0.6792  5 Ge 3.12-3.39, 5 Sn 3.30-3.47
Ca  0.2500  0.0092  0.3208  5 Ge 3.12-3.39, 5 Sn 3.30-3.47
Sn  0.2500  0.6779  0.5856  4 Ge 2.83-2.99
Sn  0.7500  0.8221  0.0856  4 Ge 2.83-2.99
Sn  0.7500  0.3221  0.4144  4 Ge 2.83-2.99
Sn  0.2500  0.1779  0.9144  4 Ge 2.83-2.99
Ge  0.7500  0.2205  0.1132  4 Sn 2.83-2.99, 2 Ca 3.12
Ge  0.2500  0.7795  0.8868  4 Sn 2.83-2.99, 2 Ca 3.12
Ge  0.2500  0.2795  0.6132  4 Sn 2.83-2.99, 2 Ca 3.12
Ge  0.7500  0.7205  0.3868  4 Sn 2.83-2.99, 2 Ca 3.12

Values from the calculation:
As for the formation energy: -38.5 kJ/mol of atoms. The total energy is -3.939 eV per atom. The calculation puts the density at 4.979 g cm⁻³.



8.
Below is an optimized crystal structure of CaSn2Ge2, with properties calculated at the GGA-PBE level.

abc: 4.4646 4.4646 7.4117
angles: 72.47 72.47 90.00
Last column: nearest neighbours and their distance in Å.
Element x y z (fractional)
Sn  0.7500  0.2500  0.5000  4 Ge 3.08, 4 Sn 3.16
Sn  0.2500  0.7500  0.5000  4 Ge 3.08, 4 Sn 3.16
Ge  0.5920  0.5920  0.8161  1 Ge 2.47
Ge  0.4080  0.4080  0.1839  1 Ge 2.47
Ca  0.0000  0.0000  0.0000  8 Ge 3.39

Values from the calculation:
As for the formation energy: -10.3 kJ/mol of atoms. The total energy is -3.955 eV per atom. The calculation puts the density at 5.252 g cm⁻³. For the excess energy over the best structure of this formula in the dataset, the calculation gives 0.069 eV per atom.



Repeat the seventh record exactly.
Below is an optimized crystal structure of CaSnGe, with properties calculated at the GGA-PBE level.

abc: 4.5592 7.0673 9.5813
angles: 90.00 90.00 90.00
Last column: nearest neighbours and their distance in Å.
Element x y z (fractional)
Ca  0.2500  0.5092  0.1792  5 Ge 3.12-3.39, 5 Sn 3.30-3.47
Ca  0.7500  0.4908  0.8208  5 Ge 3.12-3.39, 5 Sn 3.30-3.47
Ca  0.7500  0.9908  0.6792  5 Ge 3.12-3.39, 5 Sn 3.30-3.47
Ca  0.2500  0.0092  0.3208  5 Ge 3.12-3.39, 5 Sn 3.30-3.47
Sn  0.2500  0.6779  0.5856  4 Ge 2.83-2.99
Sn  0.7500  0.8221  0.0856  4 Ge 2.83-2.99
Sn  0.7500  0.3221  0.4144  4 Ge 2.83-2.99
Sn  0.2500  0.1779  0.9144  4 Ge 2.83-2.99
Ge  0.7500  0.2205  0.1132  4 Sn 2.83-2.99, 2 Ca 3.12
Ge  0.2500  0.7795  0.8868  4 Sn 2.83-2.99, 2 Ca 3.12
Ge  0.2500  0.2795  0.6132  4 Sn 2.83-2.99, 2 Ca 3.12
Ge  0.7500  0.7205  0.3868  4 Sn 2.83-2.99, 2 Ca 3.12

Values from the calculation:
As for the formation energy: -38.5 kJ/mol of atoms. The total energy is -3.939 eV per atom. The calculation puts the density at 4.979 g cm⁻³.